No. 1
An optimized crystal structure of LuInPt. Source: Alexandria via LeMat-Bulk, functional PBEsol.

Cell: 3.789 7.446 7.446 Å, 120.00 90.00 90.00°
Sites, in units of the cell vectors:
Lu 0.500 0.000 0.594
Lu 0.500 0.406 0.406
Lu 0.500 0.594 0.000
In 0.000 0.000 0.262
In 0.000 0.738 0.738
In 0.000 0.262 0.000
Pt 0.500 0.000 0.000
Pt 0.000 0.333 0.667
Pt 0.000 0.667 0.333

Calculated values
Final energy, eV per atom: -5.953
ΔE_f, eV/atom: -1.013
Space-group type: P-62m
Total magnetic moment, μB/f.u.: 0.0
Calculated volume, Å³/f.u.: 61
N(E_F), states/eV per cell: 6.3

No. 2
An optimized crystal structure of LuInRh2. Source: Alexandria via LeMat-Bulk, functional PBEsol.

Cell: 4.566 4.566 4.566 Å, 60.00 60.00 60.00°
Sites, in units of the cell vectors:
Lu 0.000 0.000 0.000
Rh 0.250 0.250 0.250
Rh 0.750 0.750 0.750
In 0.500 0.500 0.500

Calculated values
Final energy, eV per atom: -6.859
ΔE_f, eV/atom: -0.826
Space-group type: Fm-3m
Total magnetic moment, μB/f.u.: 0.0
Calculated volume, Å³/f.u.: 67
N(E_F), states/eV per cell: 0.8

No. 3
An optimized crystal structure of Lu2TlIn. Source: Alexandria via LeMat-Bulk, functional PBEsol.

Cell: 5.162 5.162 5.162 Å, 60.00 60.00 60.00°
Sites, in units of the cell vectors:
Tl 0.000 0.000 0.000
Lu 0.750 0.750 0.750
Lu 0.250 0.250 0.250
In 0.500 0.500 0.500

Calculated values
Final energy, eV per atom: -4.225
ΔE_f, eV/atom: -0.386
Space-group type: Fm-3m
Total magnetic moment, μB/f.u.: 0.0
Calculated volume, Å³/f.u.: 97
N(E_F), states/eV per cell: 3.0

No. 4
An optimized crystal structure of MgIn. Source: Alexandria via LeMat-Bulk, functional PBEsol.

Cell: 3.362 5.890 7.685 Å, 107.47 90.00 106.59°
Sites, in units of the cell vectors:
Mg 0.673 0.345 0.340
Mg 0.040 0.081 0.605
Mg 0.728 0.456 0.944
In 0.014 0.027 0.999
In 0.391 0.781 0.273
In 0.321 0.643 0.673

Calculated values
Final energy, eV per atom: -2.434
ΔE_f, eV/atom: -0.084
Space-group type: Cm
Total magnetic moment, μB/f.u.: 0.0
Calculated volume, Å³/f.u.: 46
N(E_F), states/eV per cell: 2.6

No. 5
An optimized crystal structure of MgIn. Source: Alexandria via LeMat-Bulk, functional PBEsol.

Cell: 3.349 3.349 4.796 Å, 90.00 90.00 120.00°
Sites, in units of the cell vectors:
Mg 0.667 0.333 0.500
In 0.000 0.000 0.000

Calculated values
Final energy, eV per atom: -2.429
ΔE_f, eV/atom: -0.079
Space-group type: P-6m2
Total magnetic moment, μB/f.u.: 0.0
Calculated volume, Å³/f.u.: 47
N(E_F), states/eV per cell: 0.9

No. 6
An optimized crystal structure of Mg3In. Source: Alexandria via LeMat-Bulk, functional PBEsol.

Cell: 4.509 4.509 5.407 Å, 114.64 114.64 90.00°
Sites, in units of the cell vectors:
Mg 0.750 0.250 0.500
Mg 0.500 0.500 0.000
Mg 0.250 0.750 0.500
In 0.000 0.000 0.000

Calculated values
Final energy, eV per atom: -2.122
ΔE_f, eV/atom: -0.089
Space-group type: I4/mmm
Total magnetic moment, μB/f.u.: 0.0
Calculated volume, Å³/f.u.: 89
N(E_F), states/eV per cell: 1.8

No. 7
An optimized crystal structure of Mg3In. Source: Alexandria via LeMat-Bulk, functional PBEsol.

Cell: 3.193 3.193 8.874 Å, 90.00 90.00 90.01°
Sites, in units of the cell vectors:
Mg 0.000 0.000 0.500
Mg 0.500 0.500 0.248
Mg 0.500 0.500 0.752
In 0.000 0.000 0.000

Calculated values
Final energy, eV per atom: -2.090
ΔE_f, eV/atom: -0.056
Space-group type: P4/mmm
Total magnetic moment, μB/f.u.: 0.0
Calculated volume, Å³/f.u.: 90
N(E_F), states/eV per cell: 1.7

No. 8
An optimized crystal structure of MgIn4. Source: Alexandria via LeMat-Bulk, functional PBEsol.

Cell: 4.496 5.666 5.666 Å, 80.94 66.62 66.62°
Sites, in units of the cell vectors:
Mg 0.000 0.000 0.000
In 0.397 0.401 0.805
In 0.603 0.599 0.195
In 0.798 0.805 0.599
In 0.202 0.195 0.401

Calculated values
Final energy, eV per atom: -2.775
ΔE_f, eV/atom: -0.045
Space-group type: I4/m
Total magnetic moment, μB/f.u.: 0.0
Calculated volume, Å³/f.u.: 122
N(E_F), states/eV per cell: 2.5

No. 9
An optimized crystal structure of MgIn. Source: Alexandria via LeMat-Bulk, functional PBEsol.

Cell: 5.106 5.106 5.106 Å, 60.00 60.00 60.00°
Sites, in units of the cell vectors:
Mg 0.250 0.250 0.250
Mg 0.000 0.000 0.000
In 0.500 0.500 0.500
In 0.750 0.750 0.750

Calculated values
Final energy, eV per atom: -2.365
ΔE_f, eV/atom: -0.015
Space-group type: Fd-3m
Total magnetic moment, μB/f.u.: 0.0
Calculated volume, Å³/f.u.: 47
N(E_F), states/eV per cell: 2.0

No. 10
An optimized crystal structure of Mg3In. Source: Alexandria via LeMat-Bulk, functional PBEsol.

Cell: 4.930 4.930 8.900 Å, 90.00 90.00 120.00°
Sites, in units of the cell vectors:
In 0.333 0.667 0.750
In 0.667 0.333 0.250
Mg 0.333 0.667 0.422
Mg 0.667 0.333 0.922
Mg 0.667 0.333 0.578
Mg 0.333 0.667 0.078
Mg 0.000 0.000 0.750
Mg 0.000 0.000 0.250

Calculated values
Final energy, eV per atom: -2.048
ΔE_f, eV/atom: -0.015
Space-group type: P6_3/mmc
Total magnetic moment, μB/f.u.: 0.0
Calculated volume, Å³/f.u.: 94
N(E_F), states/eV per cell: 3.1

No. 11
An optimized crystal structure of MgIn. Source: Alexandria via LeMat-Bulk, functional PBEsol.

Cell: 3.309 3.309 5.206 Å, 71.47 71.47 60.00°
Sites, in units of the cell vectors:
Mg 0.500 0.500 0.500
In 0.000 0.000 0.000

Calculated values
Final energy, eV per atom: -2.456
ΔE_f, eV/atom: -0.106
Space-group type: R-3m
Total magnetic moment, μB/f.u.: 0.0
Calculated volume, Å³/f.u.: 46
N(E_F), states/eV per cell: 0.8

No. 12
An optimized crystal structure of MgIn. Source: Alexandria via LeMat-Bulk, functional PBEsol.

Cell: 3.330 5.199 5.239 Å, 90.00 90.00 90.00°
Sites, in units of the cell vectors:
Mg 0.500 0.750 0.188
Mg 0.500 0.250 0.812
In 0.000 0.750 0.690
In 0.000 0.250 0.310

Calculated values
Final energy, eV per atom: -2.457
ΔE_f, eV/atom: -0.107
Space-group type: Pmma
Total magnetic moment, μB/f.u.: 0.0
Calculated volume, Å³/f.u.: 45
N(E_F), states/eV per cell: 1.6

No. 13
An optimized crystal structure of MgIn. Source: Alexandria via LeMat-Bulk, functional PBEsol.

Cell: 3.300 4.770 6.089 Å, 90.00 105.82 90.00°
Sites, in units of the cell vectors:
Mg 0.331 0.250 0.666
Mg 0.669 0.750 0.334
In 0.918 0.750 0.841
In 0.082 0.250 0.159

Calculated values
Final energy, eV per atom: -2.438
ΔE_f, eV/atom: -0.088
Space-group type: P2_1/m
Total magnetic moment, μB/f.u.: 0.0
Calculated volume, Å³/f.u.: 46
N(E_F), states/eV per cell: 1.6

No. 14
An optimized crystal structure of MgIn. Source: Alexandria via LeMat-Bulk, functional PBEsol.

Cell: 4.400 4.400 5.627 Å, 113.01 113.01 90.00°
Sites, in units of the cell vectors:
Mg 0.250 0.750 0.500
Mg 0.000 0.000 0.000
In 0.750 0.250 0.500
In 0.500 0.500 0.000

Calculated values
Final energy, eV per atom: -2.459
ΔE_f, eV/atom: -0.109
Space-group type: I4_1/amd
Total magnetic moment, μB/f.u.: 0.0
Calculated volume, Å³/f.u.: 45
N(E_F), states/eV per cell: 1.7

No. 15
An optimized crystal structure of Mg3In. Source: Alexandria via LeMat-Bulk, functional PBEsol.

Cell: 3.219 5.409 5.506 Å, 99.92 90.00 107.31°
Sites, in units of the cell vectors:
Mg 0.748 0.496 0.250
Mg 0.500 0.000 0.500
Mg 0.252 0.504 0.750
In 0.000 0.000 0.000

Calculated values
Final energy, eV per atom: -2.104
ΔE_f, eV/atom: -0.070
Space-group type: C2/m
Total magnetic moment, μB/f.u.: 0.0
Calculated volume, Å³/f.u.: 90
N(E_F), states/eV per cell: 1.7

No. 16
An optimized crystal structure of Mg3In. Source: Alexandria via LeMat-Bulk, functional PBEsol.

Cell: 3.244 3.244 10.044 Å, 90.00 90.00 120.00°
Sites, in units of the cell vectors:
Mg 0.000 0.000 0.500
Mg 0.667 0.333 0.752
Mg 0.667 0.333 0.248
In 0.000 0.000 0.000

Calculated values
Final energy, eV per atom: -2.072
ΔE_f, eV/atom: -0.039
Space-group type: P-6m2
Total magnetic moment, μB/f.u.: 0.0
Calculated volume, Å³/f.u.: 92
N(E_F), states/eV per cell: 1.6

No. 17
An optimized crystal structure of MgIn5. Source: Alexandria via LeMat-Bulk, functional PBEsol.

Cell: 3.341 5.291 8.578 Å, 90.00 101.23 90.00°
Sites, in units of the cell vectors:
In 0.000 0.000 0.999
In 0.667 0.000 0.335
In 0.337 0.000 0.674
In 0.551 0.500 0.102
In 0.225 0.500 0.449
Mg 0.887 0.500 0.774

Calculated values
Final energy, eV per atom: -2.794
ΔE_f, eV/atom: -0.022
Space-group type: Amm2
Total magnetic moment, μB/f.u.: 0.0
Calculated volume, Å³/f.u.: 149
N(E_F), states/eV per cell: 2.6

No. 18
An optimized crystal structure of Mg5In3. Source: Alexandria via LeMat-Bulk, functional PBEsol.

Cell: 5.838 8.552 8.445 Å, 82.72 69.78 68.50°
Sites, in units of the cell vectors:
In 0.668 0.500 0.664
In 0.748 0.000 0.505
In 0.188 0.161 0.000
In 0.812 0.839 0.000
In 0.252 0.000 0.495
In 0.332 0.500 0.336
Mg 0.217 0.846 0.197
Mg 0.925 0.303 0.347
Mg 0.250 0.500 0.000
Mg 0.415 0.846 0.803
Mg 0.728 0.697 0.347
Mg 0.272 0.303 0.653
Mg 0.585 0.154 0.197
Mg 0.750 0.500 0.000
Mg 0.075 0.697 0.653
Mg 0.783 0.154 0.803

Calculated values
Final energy, eV per atom: -2.264
ΔE_f, eV/atom: -0.072
Space-group type: C2/m
Total magnetic moment, μB/f.u.: 0.0
Calculated volume, Å³/f.u.: 184
E above lowest polymorph, eV per atom: 0.042
N(E_F), states/eV per cell: 6.6

No. 19
An optimized crystal structure of Mg3In2. Source: Alexandria via LeMat-Bulk, functional PBEsol.

Cell: 3.268 3.268 12.559 Å, 82.52 82.52 60.00°
Sites, in units of the cell vectors:
Mg 0.000 0.000 0.000
Mg 0.201 0.201 0.397
Mg 0.799 0.799 0.603
In 0.399 0.399 0.802
In 0.601 0.601 0.198

Calculated values
Final energy, eV per atom: -2.301
ΔE_f, eV/atom: -0.078
Space-group type: R-3m
Total magnetic moment, μB/f.u.: 0.0
Calculated volume, Å³/f.u.: 115
N(E_F), states/eV per cell: 2.0

No. 20
An optimized crystal structure of MgIn5. Source: Alexandria via LeMat-Bulk, functional PBEsol.

Cell: 3.332 5.715 8.962 Å, 114.19 90.00 106.95°
Sites, in units of the cell vectors:
In 0.035 0.070 0.050
In 0.366 0.732 0.216
In 0.694 0.389 0.389
In 0.023 0.046 0.562
In 0.354 0.708 0.727
Mg 0.695 0.389 0.889

Calculated values
Final energy, eV per atom: -2.807
ΔE_f, eV/atom: -0.035
Space-group type: C2/m
Total magnetic moment, μB/f.u.: 0.0
Calculated volume, Å³/f.u.: 148
N(E_F), states/eV per cell: 2.7